# Fe2PPb

Crystalline Fe2PPb at its relaxed geometry (PBE, the Alexandria database).

Total moment, μB per formula unit: 2.60
N(E_F), states/eV/cell: 4.7
E_tot, eV per atom: -6.182
Calculated volume, Å³/atom: 16.32

Cell: 4.7732 4.7732 4.7732 Å, 138.00 111.71 83.51°
Each line ends with the local moment (μB).
Fractional positions:
1 Fe 0.9329 0.9329 0.0000  1.42
2 Fe 0.5671 0.5671 0.0000  1.42
3 Pb 0.2500 0.7500 0.5000  -0.04
4 P 0.7500 0.2500 0.5000  -0.09

---

# Mn2Si2Os

Crystalline Mn2Si2Os at its relaxed geometry (PBE, the Alexandria database).

Formation energy from raw total energies, eV/atom: -0.224
Total moment, μB per formula unit: 4.83
N(E_F), states/eV/cell: 6.2
E_tot, eV per atom: -8.307
Calculated volume, Å³/atom: 12.61

Cell: 6.3881 6.3881 3.0889 Å, 90.00 90.00 90.00°
Each line ends with the local moment (μB).
Fractional positions:
1 Mn 0.3385 0.1615 0.5000  2.30
2 Mn 0.1615 0.6615 0.5000  2.36
3 Mn 0.8385 0.3385 0.5000  2.36
4 Mn 0.6615 0.8385 0.5000  2.30
5 Os 0.0000 0.0000 0.0000  0.20
6 Os 0.5000 0.5000 0.0000  0.20
7 Si 0.3650 0.8650 0.0000  -0.06
8 Si 0.6350 0.1350 0.0000  -0.06
9 Si 0.8650 0.6350 0.0000  -0.05
10 Si 0.1350 0.3650 0.0000  -0.05

---

# Mg3AsI

Crystalline Mg3AsI at its relaxed geometry (PBE, the Alexandria database).

Formation energy from raw total energies, eV/atom: 0.661
Total moment, μB per formula unit: 0.00
N(E_F), states/eV/cell: 2.4
E_tot, eV per atom: -1.535
Relative energy among the computed polymorphs, eV/atom: 0.829
Calculated volume, Å³/atom: 33.45

Cell: 5.5098 5.5098 5.5098 Å, 90.00 90.00 90.00°
Fractional positions:
1 I 0.0000 0.0000 0.0000
2 Mg 0.0000 0.5000 0.0000
3 Mg 0.5000 0.0000 0.0000
4 Mg 0.0000 0.0000 0.5000
5 As 0.5000 0.5000 0.5000